# 1
Density functional theory data (PBE) for an optimized crystal structure of Al2SiPt.

a b c (Å): 2.9270 3.7362 6.4182
angles (deg): 57.96 90.00 90.00
Element x y z (fractional)
Si: 0.5000 0.7500 0.7500
Al: 0.0000 0.9987 0.9973
Al: 0.0000 0.5013 0.5027
Pt: 0.5000 0.2500 0.2500

Calculated values
Symmetry: P2/m, No. 10
Total magnetization: 0.00 Bohr magnetons per cell
DFT total energy: -5.09 eV per atom
Volume: 59 Å³ per cell
Formation energy (no corrections): -0.36 eV per atom

# 2
Density functional theory data (PBE) for an optimized crystal structure of Al2SiPt.

a b c (Å): 3.9631 3.5827 4.8641
angles (deg): 68.60 90.00 90.00
Element x y z (fractional)
Si: 0.5000 0.5467 0.7864
Al: 0.0000 0.9826 0.9120
Al: 0.5000 0.2706 0.3312
Pt: 0.0000 0.7001 0.4705

Calculated values
Symmetry: Pm, No. 6
Total magnetization: 0.00 Bohr magnetons per cell
DFT total energy: -5.22 eV per atom
Volume: 64 Å³ per cell
Formation energy (no corrections): -0.48 eV per atom

# 3
Density functional theory data (PBE) for an optimized crystal structure of Al2SiPt.

a b c (Å): 2.8388 2.8388 7.4862
angles (deg): 90.00 90.00 90.00
Element x y z (fractional)
Si: 0.5000 0.5000 0.7500
Al: 0.0000 0.0000 0.0100
Al: 0.0000 0.0000 0.4900
Pt: 0.5000 0.5000 0.2500

Calculated values
Symmetry: P4/mmm, No. 123
Total magnetization: 0.00 Bohr magnetons per cell
DFT total energy: -5.08 eV per atom
Volume: 60 Å³ per cell
Formation energy (no corrections): -0.34 eV per atom

# 4
Density functional theory data (PBE) for an optimized crystal structure of AlSi4Pt.

a b c (Å): 5.0614 5.0614 5.0614
angles (deg): 60.00 60.00 60.00
Element x y z (fractional)
Al: 0.2500 0.2500 0.2500
Si: 0.6242 0.6242 0.1274
Si: 0.6242 0.1274 0.6242
Si: 0.6242 0.6242 0.6242
Si: 0.1274 0.6242 0.6242
Pt: 0.0000 0.0000 0.0000

Calculated values
Symmetry: F-43m, No. 216
Total magnetization: 0.00 Bohr magnetons per cell
DFT total energy: -4.84 eV per atom
Volume: 92 Å³ per cell
Formation energy (no corrections): 0.41 eV per atom

# 5
Density functional theory data (PBE) for an optimized crystal structure of Al2SiPt.

a b c (Å): 4.0888 4.0883 3.6131
angles (deg): 90.00 90.00 90.00
Element x y z (fractional)
Si: 0.0000 0.5000 0.5000
Al: 0.0000 0.0000 0.0000
Al: 0.5000 0.5000 0.0000
Pt: 0.5000 0.0000 0.5000

Calculated values
Symmetry: P4/mmm, No. 123
Total magnetization: 0.00 Bohr magnetons per cell
DFT total energy: -5.02 eV per atom
Volume: 60 Å³ per cell
Formation energy (no corrections): -0.28 eV per atom

# 6
Density functional theory data (PBE) for an optimized crystal structure of Al2SiPt.

a b c (Å): 4.8600 4.8600 4.8600
angles (deg): 132.89 132.89 68.83
Element x y z (fractional)
Si: 0.7500 0.2500 0.5000
Al: 0.0000 0.0000 0.0000
Al: 0.2500 0.7500 0.5000
Pt: 0.5000 0.5000 0.0000

Calculated values
Symmetry: I-4m2, No. 119
Total magnetization: 0.00 Bohr magnetons per cell
DFT total energy: -4.97 eV per atom
Volume: 60 Å³ per cell
Formation energy (no corrections): -0.23 eV per atom